Record 1
The following is a DFT calculation (PBE-GGA) of B7C5 after structural relaxation.

Formation energy from the elements in meV per atom: 383
V in Å³/cell: 168.66

Cell lengths 9.065, 2.695, 7.589 Å; angles 90.00, 114.52, 90.00 degrees
Space group Cm (No. 8)
Symmetry-distinct sites (fractional):
B 0.000 0.000 0.000
B 0.009 0.500 0.806
B 0.128 0.500 0.256
B 0.163 0.000 0.698
B 0.323 0.000 0.631
B 0.333 0.000 0.143
B 0.423 0.500 0.610
C 0.005 0.500 0.360
C 0.012 0.000 0.465
C 0.168 0.000 0.182
C 0.188 0.500 0.827
C 0.332 0.500 0.011



Record 2
The following is a DFT calculation (PBE-GGA) of B7C5 after structural relaxation.

Formation energy from the elements in meV per atom: 399
V in Å³/cell: 85.72

Cell lengths 4.853, 2.603, 6.787 Å; angles 90.00, 91.35, 90.00 degrees
Space group Pm (No. 6)
Symmetry-distinct sites (fractional):
B 0.000 0.000 0.000
B 0.023 0.000 0.326
B 0.131 0.500 0.735
B 0.290 0.000 0.595
B 0.485 0.500 0.052
B 0.728 0.000 0.734
B 0.794 0.500 0.391
C 0.172 0.500 0.972
C 0.344 0.000 0.367
C 0.489 0.500 0.297
C 0.675 0.000 0.964
C 0.814 0.500 0.628



Record 3
The following is a DFT calculation (PBE-GGA) of BC after structural relaxation.

Formation energy from the elements in meV per atom: 426
V in Å³/cell: 165.38

Cell lengths 13.953, 2.698, 4.605 Å; angles 90.00, 107.43, 90.00 degrees
Space group Cm (No. 8)
Symmetry-distinct sites (fractional):
B 0.000 0.000 0.000
B 0.015 0.500 0.598
B 0.067 0.000 0.432
B 0.170 0.500 0.980
B 0.235 0.500 0.495
B 0.371 0.000 0.404
C 0.054 0.500 0.959
C 0.184 0.000 0.548
C 0.224 0.000 0.932
C 0.340 0.000 0.037
C 0.354 0.500 0.561
C 0.380 0.500 0.920



Record 4
The following is a DFT calculation (PBE-GGA) of B7C5 after structural relaxation.

Formation energy from the elements in meV per atom: 428
V in Å³/cell: 170.87

Cell lengths 3.758, 11.752, 3.870 Å; angles 90.00, 91.03, 90.00 degrees
Space group C2 (No. 5)
Symmetry-distinct sites (fractional):
B 0.000 0.000 0.000
B 0.000 0.138 0.500
B 0.000 0.288 0.000
B 0.000 0.493 0.500
B 0.000 0.635 0.000
B 0.240 0.381 0.692
C 0.000 0.795 0.500
C 0.244 0.728 0.736
C 0.249 0.061 0.743



Record 5
The following is a DFT calculation (PBE-GGA) of BC after structural relaxation.

Formation energy from the elements in meV per atom: 404
V in Å³/cell: 158.53

Cell lengths 13.334, 2.456, 4.914 Å; angles 90.00, 99.94, 90.00 degrees
Space group Cm (No. 8)
Symmetry-distinct sites (fractional):
B 0.000 0.000 0.000
B 0.010 0.000 0.329
B 0.143 0.000 0.147
B 0.303 0.000 0.912
B 0.370 0.500 0.158
B 0.465 0.000 0.745
C 0.037 0.500 0.530
C 0.149 0.500 0.647
C 0.182 0.000 0.832
C 0.197 0.500 0.371
C 0.313 0.500 0.447
C 0.348 0.000 0.614



Record 6
The following is a DFT calculation (PBE-GGA) of BC11 after structural relaxation.

Formation energy from the elements in meV per atom: 199
V in Å³/cell: 70.30

Cell lengths 2.522, 7.663, 3.637 Å; angles 90.00, 90.00, 90.00 degrees
Space group Pmm2 (No. 25)
Symmetry-distinct sites (fractional):
B 0.000 0.000 0.000
C 0.000 0.174 0.761
C 0.000 0.336 0.010
C 0.000 0.500 0.760
C 0.500 0.000 0.296
C 0.500 0.170 0.514
C 0.500 0.335 0.258
C 0.500 0.500 0.511



Record 7
The following is a DFT calculation (PBE-GGA) of BC after structural relaxation.

Formation energy from the elements in meV per atom: 360
V in Å³/cell: 88.71

Cell lengths 2.6179, 2.6179, 14.9461 Å; angles 90.00, 90.00, 120.00 degrees
Space group P3m1 (No. 156)
Symmetry-distinct sites (fractional):
B 0.0000 0.0000 0.0000
B 0.0000 0.0000 0.1114
B 0.3333 0.6667 0.1802
B 0.3333 0.6667 0.5831
B 0.3333 0.6667 0.8169
B 0.6667 0.3333 0.9304
C 0.0000 0.0000 0.4587
C 0.0000 0.0000 0.5686
C 0.3333 0.6667 0.2863
C 0.6667 0.3333 0.3209
C 0.6667 0.3333 0.4247
C 0.6667 0.3333 0.8247



Record 8
The following is a DFT calculation (PBE-GGA) of B7C5 after structural relaxation.

Formation energy from the elements in meV per atom: 300
V in Å³/cell: 95.77

Cell lengths 2.7077, 2.7077, 15.0838 Å; angles 90.00, 90.00, 120.00 degrees
Space group P3m1 (No. 156)
Symmetry-distinct sites (fractional):
B 0.0000 0.0000 0.0000
B 0.0000 0.0000 0.1859
B 0.0000 0.0000 0.5177
B 0.3333 0.6667 0.3073
B 0.3333 0.6667 0.6284
B 0.3333 0.6667 0.8604
B 0.6667 0.3333 0.4493
C 0.0000 0.0000 0.6218
C 0.3333 0.6667 0.1941
C 0.6667 0.3333 0.3488
C 0.6667 0.3333 0.8711
C 0.6667 0.3333 0.9866



Record 9
The following is a DFT calculation (PBE-GGA) of BC after structural relaxation.

Formation energy from the elements in meV per atom: 370
V in Å³/cell: 76.84

Cell lengths 4.386, 4.392, 4.792 Å; angles 81.69, 72.29, 60.91 degrees
Space group P1 (No. 1)
Symmetry-distinct sites (fractional):
B 0.000 0.000 0.000
B 0.049 0.314 0.164
B 0.156 0.085 0.618
B 0.312 0.510 0.963
B 0.535 0.107 0.179
B 0.798 0.721 0.956
C 0.213 0.738 0.485
C 0.339 0.799 0.158
C 0.492 0.427 0.613
C 0.533 0.085 0.523
C 0.844 0.746 0.599
C 0.854 0.421 0.506



Record 10
The following is a DFT calculation (PBE-GGA) of BC after structural relaxation.

Formation energy from the elements in meV per atom: 325
V in Å³/cell: 103.58

Cell lengths 2.6594, 2.6594, 16.9119 Å; angles 90.00, 90.00, 120.00 degrees
Space group P3m1 (No. 156)
Symmetry-distinct sites (fractional):
B 0.0000 0.0000 0.0000
B 0.0000 0.0000 0.2436
B 0.0000 0.0000 0.6389
B 0.3333 0.6667 0.4784
B 0.6667 0.3333 0.5784
B 0.6667 0.3333 0.8917
C 0.0000 0.0000 0.7315
C 0.3333 0.6667 0.2437
C 0.3333 0.6667 0.7640
C 0.3333 0.6667 0.8527
C 0.6667 0.3333 0.4860
C 0.6667 0.3333 0.9904



- Look up the formation energy from the elements of the seventh one.
  360 meV per atom



- Among the records above, which one has the highest V?
  number 4



What did the seventh record say?
The following is a DFT calculation (PBE-GGA) of BC after structural relaxation.

Formation energy from the elements in meV per atom: 360
V in Å³/cell: 88.71

Cell lengths 2.6179, 2.6179, 14.9461 Å; angles 90.00, 90.00, 120.00 degrees
Space group P3m1 (No. 156)
Symmetry-distinct sites (fractional):
B 0.0000 0.0000 0.0000
B 0.0000 0.0000 0.1114
B 0.3333 0.6667 0.1802
B 0.3333 0.6667 0.5831
B 0.3333 0.6667 0.8169
B 0.6667 0.3333 0.9304
C 0.0000 0.0000 0.4587
C 0.0000 0.0000 0.5686
C 0.3333 0.6667 0.2863
C 0.6667 0.3333 0.3209
C 0.6667 0.3333 0.4247
C 0.6667 0.3333 0.8247